Here is a relaxed LiZnCoPb crystal from OQMD. Energies are from PBE.

Results
- total magnetic moment (μB/cell) = 0.00
- ρ (g/cm³) = 9.24
- space group = F-43m
- E_tot (eV/atom) = -3.4531

Unit cell a=4.4150 b=4.4150 c=4.4150 alpha=60.00 beta=60.00 gamma=60.00
With the nearest neighbours (Å) after each atom.
Element x y z (fractional)
1 Co 0.5000 0.5000 0.5000  4 Zn 2.70, 4 Pb 2.70
2 Zn 0.7500 0.7500 0.7500  4 Co 2.70, 4 Li 2.70
3 Li 0.0000 0.0000 0.0000  4 Pb 2.70, 4 Zn 2.70
4 Pb 0.2500 0.2500 0.2500  4 Li 2.70, 4 Co 2.70